one.
First-principles (PBE-GGA) data for CoSiSeN2 after structural relaxation, as listed in Alexandria.

The volume is 15.47 Å³ per atom.

The structure in CIF format:
```
data_CoSiSeN2
_space_group_name_H-M_alt 'P 4/m m m'
_space_group_IT_number 123
_space_group_name_Hall '-P 4 2'
_cell_length_a 3.412
_cell_length_b 3.412
_cell_length_c 6.645
_cell_angle_alpha 90.00
_cell_angle_beta 90.00
_cell_angle_gamma 90.00
loop_
_atom_site_label
_atom_site_type_symbol
_atom_site_fract_x
_atom_site_fract_y
_atom_site_fract_z
Co1 Co 0.000 0.000 0.000
Si1 Si 0.500 0.500 0.500
Se1 Se 0.500 0.500 0.000
N1 N 0.000 0.500 0.500
```



two.
First-principles (PBE-GGA) data for CoSiSeN2 after structural relaxation, as listed in Alexandria.

The volume is 13.49 Å³ per atom.

The structure in CIF format:
```
data_CoSiSeN2
_space_group_name_H-M_alt 'P 4/m m m'
_space_group_IT_number 123
_space_group_name_Hall '-P 4 2'
_cell_length_a 3.650
_cell_length_b 3.650
_cell_length_c 5.065
_cell_angle_alpha 90.00
_cell_angle_beta 90.00
_cell_angle_gamma 90.00
loop_
_atom_site_label
_atom_site_type_symbol
_atom_site_fract_x
_atom_site_fract_y
_atom_site_fract_z
Co1 Co 0.000 0.000 0.000
Si1 Si 0.500 0.500 0.500
Se1 Se 0.000 0.000 0.500
N1 N 0.000 0.500 0.000
```



Energies relative to the most stable structure are one 0.0; two 46.6, reported in kJ/mol of atoms.



one.
First-principles (PBE-GGA) data for CoSnSeN2 after structural relaxation, as listed in Alexandria.

The volume is 15.01 Å³ per atom.

The structure in CIF format:
```
data_CoSnSeN2
_space_group_name_H-M_alt 'P 4/m m m'
_space_group_IT_number 123
_space_group_name_Hall '-P 4 2'
_cell_length_a 3.878
_cell_length_b 3.878
_cell_length_c 4.991
_cell_angle_alpha 90.00
_cell_angle_beta 90.00
_cell_angle_gamma 90.00
loop_
_atom_site_label
_atom_site_type_symbol
_atom_site_fract_x
_atom_site_fract_y
_atom_site_fract_z
Co1 Co 0.000 0.000 0.000
Sn1 Sn 0.500 0.500 0.500
Se1 Se 0.000 0.000 0.500
N1 N 0.000 0.500 0.000
```



two.
First-principles (PBE-GGA) data for CoSnSeN2 after structural relaxation, as listed in Alexandria.

The volume is 18.64 Å³ per atom.

The structure in CIF format:
```
data_CoSnSeN2
_space_group_name_H-M_alt 'P 4/m m m'
_space_group_IT_number 123
_space_group_name_Hall '-P 4 2'
_cell_length_a 4.045
_cell_length_b 4.045
_cell_length_c 5.697
_cell_angle_alpha 90.00
_cell_angle_beta 90.00
_cell_angle_gamma 90.00
loop_
_atom_site_label
_atom_site_type_symbol
_atom_site_fract_x
_atom_site_fract_y
_atom_site_fract_z
Co1 Co 0.000 0.000 0.000
Sn1 Sn 0.500 0.500 0.500
Se1 Se 0.500 0.500 0.000
N1 N 0.000 0.500 0.500
```



Energies relative to the most stable structure are one 0.0; two 56.2, reported in kJ/mol of atoms.